Cs3SbF7 after structural relaxation, computed with PBE.

```
Cs3SbF7
1.0
-3.542 -1.545 5.266
2.364 -6.089 0.029
4.145 -1.620 6.079
F Cs Sb
7 3 1
direct
0.872 0.872 0.818
0.120 0.120 0.137
0.976 0.280 0.800
0.080 0.677 0.213
0.665 0.665 0.241
0.280 0.976 0.800
0.677 0.080 0.213
0.760 0.240 0.498
0.240 0.760 0.498
0.499 0.499 0.003
0.956 0.956 0.030
```

Summary:
Energy relative to the elements, uncorrected = -28.29 eV per formula unit
Space group = Cm
Total moment = 0.99 μB/f.u.
Fermi-level density of states = 3.447 states/eV/f.u.